No. 1
The following is a DFT calculation (PBE-GGA) of a relaxed structure of ScTe2Pb2.

Cell: 7.755 7.755 5.198 Å, 90.00 90.00 90.00°
Space group P4/mbm (No. 127)
Inequivalent atoms, fractional coordinates:
1 Sc 0.000 0.000 0.000 x2
2 Te 0.170 0.330 0.000 x4
3 Pb 0.159 0.659 0.500 x4

---

No. 2
The following is a DFT calculation (PBE-GGA) of a relaxed structure of Hf2MoH8.

Cell: 3.197 4.162 12.234 Å, 90.00 90.00 90.00°
Space group Immm (No. 71)
Inequivalent atoms, fractional coordinates:
1 Hf 0.000 0.000 0.147 x4
2 Mo 0.000 0.000 0.500 x2
3 H 0.000 0.225 0.373 x8
4 H 0.000 0.251 0.000 x4
5 H 0.000 0.500 0.241 x4

Output
For the energy above the lowest structure with this stoichiometry, the calculation gives 0.0000 eV/atom.

---

No. 3
The following is a DFT calculation (PBE-GGA) of a relaxed structure of RbPu2TlBr8.

Cell: 7.116 7.772 8.934 Å, 89.97 89.95 87.91°
Space group P-1 (No. 2)
Inequivalent atoms, fractional coordinates:
1 Rb 0.000 0.000 0.000 x1
2 Pu 0.500 0.500 0.252 x2
3 Tl 0.000 0.000 0.500 x1
4 Br 0.272 0.376 0.500 x2
5 Br 0.274 0.380 0.000 x2
6 Br 0.287 0.813 0.257 x2
7 Br 0.287 0.813 0.743 x2

---

No. 4
The following is a DFT calculation (PBE-GGA) of a relaxed structure of La4PmPr.

Cell: 7.386 6.154 9.559 Å, 90.00 90.00 90.00°
Space group Pmma (No. 51)
Inequivalent atoms, fractional coordinates:
1 La 0.000 0.000 0.000 x2
2 La 0.013 0.500 0.328 x4
3 La 0.250 0.500 0.979 x2
4 Pm 0.250 0.000 0.679 x2
5 Pr 0.250 0.000 0.325 x2

Output
For the energy above the lowest structure with this stoichiometry, the calculation gives 0.0047 eV/atom. The formation energy comes out at 0.142 eV per atom.

---

no.,energy (eV/atom),M_tot (μB per formula unit)
1,-4.3774,0.000
2,-5.4478,0.000
3,-5.2182,10.000
4,-4.7317,0.000